Density functional theory data (PBE with a Hubbard U) for crystalline TaCrAs2O at its relaxed geometry. Values from VASP.

Calculated values
E_tot = -7.16 eV/atom
mass density = 6.50 g/cm3

```
&SYSTEM
  ibrav = 0, nat = 5, ntyp = 4
/
ATOMIC_SPECIES
Ta 180.95 Ta.upf
Cr 52.00 Cr.upf
As 74.92 As.upf
O 16.00 O.upf
CELL_PARAMETERS angstrom
5.149 0.000 0.000
0.000 5.149 0.000
0.000 0.000 3.843
ATOMIC_POSITIONS angstrom
Ta 0.000 0.000 0.000
Cr 2.574 2.574 1.922
As 0.000 2.574 0.000
As 2.574 0.000 0.000
O 0.000 0.000 1.922
```